No. 1
# PBE Gd2Tm2CCl5, relaxed
# M_tot ... 0.0 μB per cell
# Theoretical density ... 5776 kg/m3
# V ... 242 Å³/f.u.
# E ... -5.363 eV/atom
data_Gd2Tm2CCl5
_symmetry_space_group_name_H-M 'C 1 2/m 1'
_symmetry_Int_Tables_number 12
_symmetry_space_group_name_Hall '-C 2y'
_cell_length_a 16.933
_cell_length_b 3.727
_cell_length_c 7.874
_cell_angle_alpha 90.00
_cell_angle_beta 103.10
_cell_angle_gamma 90.00
loop_
_atom_site_label
_atom_site_type_symbol
_atom_site_fract_x
_atom_site_fract_y
_atom_site_fract_z
_atom_site_occupancy
Gd1 Gd 0.002 0.000 0.288 1
Tm1 Tm 0.142 0.500 0.577 1
C1 C 0.000 0.500 0.500 1
Cl1 Cl 0.000 0.500 0.000 1
Cl2 Cl 0.167 0.000 0.826 1
Cl3 Cl 0.174 0.000 0.350 1

No. 2
# PBE NbAl, relaxed
# M_tot ... 0.0 μB per cell
# Theoretical density ... 5717 kg/m3
# V ... 35 Å³/f.u.
# E ... -7.089 eV/atom
data_NbAl
_symmetry_space_group_name_H-M 'P -6 m 2'
_symmetry_Int_Tables_number 187
_symmetry_space_group_name_Hall 'P -6 2'
_cell_length_a 2.9448
_cell_length_b 2.9448
_cell_length_c 4.6366
_cell_angle_alpha 90.00
_cell_angle_beta 90.00
_cell_angle_gamma 120.00
loop_
_atom_site_label
_atom_site_type_symbol
_atom_site_fract_x
_atom_site_fract_y
_atom_site_fract_z
_atom_site_occupancy
Nb1 Nb 0.0000 0.0000 0.0000 1
Al1 Al 0.3333 0.6667 0.5000 1

No. 3
# PBE Dy2Y3TmAs2Os, relaxed
# M_tot ... 0.1 μB per cell
# Theoretical density ... 8194 kg/m3
# V ... 223 Å³/f.u.
# E ... -6.715 eV/atom
data_Dy2Y3TmAs2Os
_symmetry_space_group_name_H-M 'A m m 2'
_symmetry_Int_Tables_number 38
_symmetry_space_group_name_Hall 'A 2 -2'
_cell_length_a 4.151
_cell_length_b 13.597
_cell_length_c 7.905
_cell_angle_alpha 90.00
_cell_angle_beta 90.00
_cell_angle_gamma 90.00
loop_
_atom_site_label
_atom_site_type_symbol
_atom_site_fract_x
_atom_site_fract_y
_atom_site_fract_z
_atom_site_occupancy
Dy1 Dy 0.000 0.122 0.000 1
Y1 Y 0.500 0.000 0.714 1
Y2 Y 0.500 0.202 0.324 1
Tm1 Tm 0.000 0.000 0.367 1
As1 As 0.000 0.165 0.621 1
Os1 Os 0.500 0.000 0.129 1

No. 4
# PBE CsGdNi, relaxed
# M_tot ... 0.3 μB per cell
# Theoretical density ... 3677 kg/m3
# V ... 158 Å³/f.u.
# E ... -2.258 eV/atom
data_CsGdNi
_symmetry_space_group_name_H-M 'F -4 3 m'
_symmetry_Int_Tables_number 216
_symmetry_space_group_name_Hall 'F -4 2 3'
_cell_length_a 8.573
_cell_length_b 8.573
_cell_length_c 8.573
_cell_angle_alpha 90.00
_cell_angle_beta 90.00
_cell_angle_gamma 90.00
loop_
_atom_site_label
_atom_site_type_symbol
_atom_site_fract_x
_atom_site_fract_y
_atom_site_fract_z
_atom_site_occupancy
Cs1 Cs 0.000 0.000 0.000 1
Gd1 Gd 0.250 0.250 0.250 1
Ni1 Ni 0.000 0.000 0.500 1

Q: Among the records above, which one has the highest M_tot?
A: CsGdNi

Q: Which formula does entry 2 have?
A: NbAl